# 1
First-principles (PBE) data for YAu2Br after structural relaxation, as listed in the Alexandria database.

Computed properties:
polymorph energy (0 for the lowest one)	0.000	eV per atom
energy relative to the elements, uncorrected	-0.81	eV/atom

Cell: 4.915 4.915 7.309 Å, 80.30 80.30 46.77°
Positions (direct):
Y (0.770, 0.770, 0.829)
Au (0.041, 0.041, 0.995)
Au (0.316, 0.316, 0.125)
Br (0.372, 0.372, 0.550)

# 2
First-principles (PBE) data for Y2AuBr after structural relaxation, as listed in the Alexandria database.

Computed properties:
DOS at the Fermi energy	3.0	states/eV/cell
polymorph energy (0 for the lowest one)	0.033	eV per atom
energy relative to the elements, uncorrected	-0.92	eV/atom

Cell: 4.155 4.155 6.004 Å, 90.00 90.00 90.00°
Positions (direct):
Y (0.000, 0.000, 0.875)
Y (0.500, 0.500, 0.375)
Au (0.000, 0.000, 0.375)
Br (0.500, 0.500, 0.875)

# 3
First-principles (PBE) data for YAu2Br after structural relaxation, as listed in the Alexandria database.

Computed properties:
DOS at the Fermi energy	1.0	states/eV/cell
polymorph energy (0 for the lowest one)	0.181	eV per atom
energy relative to the elements, uncorrected	-0.63	eV/atom

Cell: 5.020 5.020 5.020 Å, 120.02 119.96 90.02°
Positions (direct):
Y (0.249, 0.749, 0.500)
Au (0.000, 0.000, 0.000)
Au (0.751, 0.251, 0.500)
Br (0.500, 0.500, 0.000)

# 4
First-principles (PBE) data for YAu2Br after structural relaxation, as listed in the Alexandria database.

Computed properties:
DOS at the Fermi energy	0.3	states/eV/cell
polymorph energy (0 for the lowest one)	0.215	eV per atom
energy relative to the elements, uncorrected	-0.59	eV/atom

Cell: 8.000 8.000 8.000 Å, 28.93 28.93 28.93°
Positions (direct):
Y (0.750, 0.750, 0.750)
Au (0.005, 0.005, 0.005)
Au (0.495, 0.495, 0.495)
Br (0.250, 0.250, 0.250)

# 5
First-principles (PBE) data for YAuBr2 after structural relaxation, as listed in the Alexandria database.

Computed properties:
DOS at the Fermi energy	1.5	states/eV/cell
polymorph energy (0 for the lowest one)	0.465	eV per atom
energy relative to the elements, uncorrected	-0.74	eV/atom

Cell: 3.749 3.749 6.822 Å, 90.00 90.00 90.00°
Positions (direct):
Y (0.500, 0.500, 0.250)
Au (0.500, 0.500, 0.750)
Br (0.000, 0.000, 0.020)
Br (0.000, 0.000, 0.480)

# 6
First-principles (PBE) data for YZr2AuBr after structural relaxation, as listed in the Alexandria database.

Computed properties:
DOS at the Fermi energy	6.0	states/eV/cell
energy relative to the elements, uncorrected	0.30	eV/atom

Cell: 4.996 5.190 4.996 Å, 90.00 90.00 90.00°
Positions (direct):
Y (0.500, 0.500, 0.500)
Au (0.000, 0.500, 0.000)
Br (0.000, 0.000, 0.000)
Zr (0.000, 0.000, 0.500)
Zr (0.500, 0.000, 0.000)

# 7
First-principles (PBE) data for Zn2AuBr6 after structural relaxation, as listed in the Alexandria database.

Computed properties:
DOS at the Fermi energy	8.2	states/eV/cell
polymorph energy (0 for the lowest one)	0.000	eV per atom
energy relative to the elements, uncorrected	-0.56	eV/atom

Cell: 7.437 9.732 9.732 Å, 74.60 68.71 68.71°
Each line ends with the local moment (μB).
Positions (direct):
Zn (0.224, 0.610, 0.809)  0.00
Zn (0.276, 0.191, 0.390)  0.00
Zn (0.776, 0.390, 0.191)  0.00
Zn (0.724, 0.809, 0.610)  0.00
Au (0.250, 0.183, 0.817)  0.18
Au (0.750, 0.817, 0.183)  0.18
Br (0.514, 0.671, 0.602)  0.01
Br (0.986, 0.398, 0.329)  0.01
Br (0.486, 0.329, 0.398)  0.01
Br (0.014, 0.602, 0.671)  0.01
Br (0.859, 0.920, 0.346)  0.05
Br (0.641, 0.654, 0.080)  0.05
Br (0.141, 0.080, 0.654)  0.05
Br (0.359, 0.346, 0.920)  0.05
Br (0.130, 0.746, 0.012)  0.07
Br (0.370, 0.988, 0.254)  0.07
Br (0.870, 0.254, 0.988)  0.07
Br (0.630, 0.012, 0.746)  0.07

# 8
First-principles (PBE) data for Zn4AuBr after structural relaxation, as listed in the Alexandria database.

Computed properties:
DOS at the Fermi energy	4.1	states/eV/cell
energy relative to the elements, uncorrected	0.18	eV/atom

Cell: 5.364 5.364 5.364 Å, 60.00 60.00 60.00°
Positions (direct):
Zn (0.873, 0.376, 0.376)
Zn (0.376, 0.376, 0.873)
Zn (0.376, 0.873, 0.376)
Zn (0.376, 0.376, 0.376)
Au (0.750, 0.750, 0.750)
Br (0.000, 0.000, 0.000)